# RbPPdAu2 (SCAN, single point on PBEsol structure)
data_RbPPdAu2
_cell_length_a 4.5775
_cell_length_b 4.5775
_cell_length_c 6.0700
_cell_angle_alpha 90.00
_cell_angle_beta 90.00
_cell_angle_gamma 90.00
_symmetry_space_group_name_H-M 'P 1'
_symmetry_Int_Tables_number 1
loop_
_symmetry_equiv_pos_as_xyz
'x,y,z'
loop_
_atom_site_label
_atom_site_type_symbol
_atom_site_fract_x
_atom_site_fract_y
_atom_site_fract_z
Rb1 Rb 0.0000 0.0000 0.0000
P1 P 0.0000 0.0000 0.5000
Pd1 Pd 0.5000 0.5000 0.0000
Au1 Au 0.0000 0.5000 0.5000
Au2 Au 0.5000 0.0000 0.5000
# * crystal system: tetragonal
# * formation energy from the elements: 370 meV per atom
# * symmetry: No. 123
# * calculated density: 8.05 g cm⁻³
# * total moment: 0.000 μB/atom
# * DOS(E_F): 0.36 states/eV per atom